No. 1
Ta2Co: relaxed, PBE-GGA.

Cell: 7.203 7.203 4.822 Å, 90.00 90.00 157.27°
Element x y z (fractional)
Ta 0.046 0.954 0.750
Ta 0.360 0.640 0.750
Ta 0.640 0.360 0.250
Ta 0.954 0.046 0.250
Co 0.294 0.706 0.250
Co 0.706 0.294 0.750

- formation energy (meV per atom) = 157
- total moment (μB/cell) = 0.000
- density of states at the Fermi level (states/eV/cell) = 5.78
- crystal system = orthorhombic


No. 2
Mg2Ga2Ag5: relaxed, PBE-GGA.

Cell: 8.133 8.133 5.219 Å, 99.67 99.67 81.16°
Element x y z (fractional)
Mg 0.185 0.815 0.500
Mg 0.555 0.954 0.544
Mg 0.815 0.185 0.000
Mg 0.954 0.555 0.044
Ga 0.151 0.485 0.612
Ga 0.369 0.778 0.046
Ga 0.485 0.151 0.112
Ga 0.778 0.369 0.546
Ag 0.037 0.886 0.970
Ag 0.123 0.215 0.827
Ag 0.215 0.123 0.327
Ag 0.298 0.467 0.177
Ag 0.467 0.298 0.677
Ag 0.510 0.633 0.615
Ag 0.633 0.510 0.115
Ag 0.696 0.849 0.040
Ag 0.849 0.696 0.540
Ag 0.886 0.037 0.470

- formation energy (meV per atom) = -88
- excess energy over the best structure of this formula in the dataset (eV per formula unit) = 0.00
- total moment (μB/cell) = 0.000
- density of states at the Fermi level (states/eV/cell) = 5.70
- crystal system = monoclinic


No. 3
Rb3PmEr3Te8: relaxed, PBE-GGA.

Cell: 10.170 10.170 10.170 Å, 51.43 51.43 51.43°
Element x y z (fractional)
Rb 0.000 0.500 0.500
Rb 0.500 0.000 0.500
Rb 0.500 0.500 0.000
Pm 0.500 0.500 0.500
Er 0.000 0.000 0.500
Er 0.000 0.500 0.000
Er 0.500 0.000 0.000
Te 0.223 0.739 0.739
Te 0.233 0.233 0.233
Te 0.261 0.261 0.777
Te 0.261 0.777 0.261
Te 0.739 0.223 0.739
Te 0.739 0.739 0.223
Te 0.767 0.767 0.767
Te 0.777 0.261 0.261

- total moment (μB/cell) = 0.000
- density of states at the Fermi level (states/eV/cell) = 7.18
- crystal system = trigonal
- formation energy without anion corrections (meV/atom) = -1308


No. 4
Ac2CdC2N6: relaxed, PBE-GGA.

Cell: 5.701 5.711 6.598 Å, 103.51 110.90 100.14°
Element x y z (fractional)
Ac 0.129 0.230 0.344
Ac 0.871 0.770 0.656
Cd 0.500 0.500 0.000
C 0.232 0.723 0.248
C 0.768 0.277 0.752
N 0.091 0.738 0.377
N 0.172 0.825 0.080
N 0.425 0.605 0.294
N 0.575 0.395 0.706
N 0.828 0.175 0.920
N 0.909 0.262 0.623

- total moment (μB/cell) = 2.006
- density of states at the Fermi level (states/eV/cell) = 0.49
- crystal system = triclinic
- formation energy without anion corrections (meV/atom) = -326


No. 5
Y2MnAs: relaxed, PBE-GGA.

Cell: 3.672 3.672 6.745 Å, 90.00 90.00 90.00°
Element x y z (fractional)
Y 0.000 0.000 0.242
Y 0.000 0.000 0.758
Mn 0.500 0.500 0.500
As 0.500 0.500 0.000

- formation energy (meV per atom) = -482
- total moment (μB/cell) = 3.060
- density of states at the Fermi level (states/eV/cell) = 3.30
- crystal system = tetragonal


No. 6
V2Hg4Sb: relaxed, PBE-GGA.

Cell: 7.751 7.751 7.751 Å, 136.59 136.59 63.06°
Element x y z (fractional)
V 0.068 0.068 0.000
V 0.932 0.932 0.000
Hg 0.000 0.500 0.500
Hg 0.275 0.275 0.000
Hg 0.500 0.000 0.500
Hg 0.725 0.725 0.000
Sb 0.500 0.500 0.000

- total moment (μB/cell) = 0.532
- density of states at the Fermi level (states/eV/cell) = 5.02
- crystal system = tetragonal
- formation energy without anion corrections (meV/atom) = 625


No. 7
TaSnAs2Se: relaxed, PBE-GGA.

Cell: 5.076 5.076 4.984 Å, 90.00 90.00 90.00°
Element x y z (fractional)
Ta 0.000 0.000 0.000
Sn 0.500 0.500 0.500
As 0.000 0.500 0.000
As 0.500 0.000 0.000
Se 0.000 0.000 0.500

- excess energy over the best structure of this formula in the dataset (eV per formula unit) = 0.00
- total moment (μB/cell) = 0.000
- density of states at the Fermi level (states/eV/cell) = 2.60
- crystal system = tetragonal
- formation energy without anion corrections (meV/atom) = 124


No. 8
PmTmMnZn: relaxed, PBE-GGA.

Cell: 5.047 5.047 5.047 Å, 60.00 60.00 60.00°
Element x y z (fractional)
Pm 0.000 0.000 0.000
Tm 0.500 0.500 0.500
Mn 0.750 0.750 0.750
Zn 0.250 0.250 0.250

- formation energy (meV per atom) = -26
- total moment (μB/cell) = 2.933
- density of states at the Fermi level (states/eV/cell) = 5.34
- crystal system = cubic


No. 9
TlReAsP2: relaxed, PBE-GGA.

Cell: 4.564 4.564 5.403 Å, 90.00 90.00 90.00°
Element x y z (fractional)
Tl 0.000 0.000 0.000
Re 0.500 0.500 0.500
As 0.500 0.500 0.000
P 0.000 0.500 0.500
P 0.500 0.000 0.500

- formation energy (meV per atom) = 433
- total moment (μB/cell) = 0.000
- density of states at the Fermi level (states/eV/cell) = 3.69
- crystal system = tetragonal


No. 10
TbGeIr: relaxed, PBE-GGA.

Cell: 4.336 4.336 3.692 Å, 90.00 90.00 120.00°
Element x y z (fractional)
Tb 0.000 0.000 0.000
Ge 0.333 0.667 0.500
Ir 0.667 0.333 0.500

- formation energy (meV per atom) = -812
- total moment (μB/cell) = 0.000
- density of states at the Fermi level (states/eV/cell) = 1.63
- crystal system = hexagonal


No. 11
YNi2Rh: relaxed, PBE-GGA.

Cell: 9.190 9.190 9.190 Å, 154.14 154.14 36.89°
Element x y z (fractional)
Y 0.000 0.000 0.000
Y 0.750 0.250 0.500
Ni 0.268 0.625 0.143
Ni 0.375 0.518 0.643
Ni 0.482 0.125 0.857
Ni 0.875 0.732 0.357
Rh 0.250 0.750 0.500
Rh 0.500 0.500 0.000

- formation energy (meV per atom) = -22
- total moment (μB/cell) = 0.000
- density of states at the Fermi level (states/eV/cell) = 8.02
- crystal system = tetragonal


No. 12
SiNiHg: relaxed, PBE-GGA.

Cell: 4.167 4.167 4.167 Å, 60.00 60.00 60.00°
Element x y z (fractional)
Si 0.000 0.000 0.000
Ni 0.750 0.750 0.750
Hg 0.500 0.500 0.500

- excess energy over the best structure of this formula in the dataset (eV per formula unit) = 0.20
- total moment (μB/cell) = 0.000
- density of states at the Fermi level (states/eV/cell) = 2.66
- crystal system = cubic
- formation energy without anion corrections (meV/atom) = 185


No. 13
UFeIrPt: relaxed, PBE-GGA.

Cell: 3.889 4.059 4.112 Å, 90.00 90.00 90.00°
Element x y z (fractional)
U 0.000 0.000 0.000
Fe 0.500 0.500 0.000
Ir 0.500 0.000 0.500
Pt 0.000 0.500 0.500

- formation energy (meV per atom) = -530
- total moment (μB/cell) = 0.778
- density of states at the Fermi level (states/eV/cell) = 2.30
- crystal system = orthorhombic


No. 14
Mn2Zn6Cu: relaxed, PBE-GGA.

Cell: 7.410 7.410 2.660 Å, 90.49 90.49 59.75°
Element x y z (fractional)
Mn 0.167 0.167 0.000
Mn 0.833 0.833 0.000
Zn 0.167 0.500 0.501
Zn 0.168 0.832 0.500
Zn 0.500 0.167 0.501
Zn 0.500 0.833 0.499
Zn 0.832 0.168 0.500
Zn 0.833 0.500 0.499
Cu 0.500 0.500 0.000

- formation energy (meV per atom) = 21
- excess energy over the best structure of this formula in the dataset (eV per formula unit) = 0.00
- total moment (μB/cell) = 6.351
- density of states at the Fermi level (states/eV/cell) = 5.04
- crystal system = monoclinic


No. 15
CaMgSe2: relaxed, PBE-GGA.

Cell: 3.946 7.069 7.069 Å, 30.94 90.00 90.00°
Element x y z (fractional)
Ca 0.000 0.000 0.000
Mg 0.500 0.246 0.246
Se 0.000 0.687 0.687
Se 0.500 0.432 0.432

- total moment (μB/cell) = 0.000
- crystal system = orthorhombic
- formation energy without anion corrections (meV/atom) = -1479


No. 16
CrRuPt2: relaxed, PBE-GGA.

Cell: 2.757 3.890 5.429 Å, 90.00 90.00 90.00°
Element x y z (fractional)
Cr 0.000 0.000 0.000
Ru 0.000 0.000 0.500
Pt 0.500 0.500 0.250
Pt 0.500 0.500 0.750

- formation energy (meV per atom) = -66
- total moment (μB/cell) = 2.151
- density of states at the Fermi level (states/eV/cell) = 5.13
- crystal system = orthorhombic


No. 17
K4Nd3BiSe8: relaxed, PBE-GGA.

Cell: 9.200 9.200 9.200 Å, 56.35 56.35 56.35°
Element x y z (fractional)
K 0.000 0.000 0.000
K 0.000 0.500 0.500
K 0.500 0.000 0.500
K 0.500 0.500 0.000
Nd 0.000 0.000 0.500
Nd 0.000 0.500 0.000
Nd 0.500 0.000 0.000
Bi 0.500 0.500 0.500
Se 0.237 0.237 0.237
Se 0.237 0.737 0.737
Se 0.263 0.263 0.763
Se 0.263 0.763 0.263
Se 0.737 0.237 0.737
Se 0.737 0.737 0.237
Se 0.763 0.263 0.263
Se 0.763 0.763 0.763

- total moment (μB/cell) = 0.000
- density of states at the Fermi level (states/eV/cell) = 0.00
- crystal system = trigonal
- formation energy without anion corrections (meV/atom) = -1515


No. 18
PrTm2Th: relaxed, PBE-GGA.

Cell: 5.094 5.094 4.924 Å, 90.00 90.00 90.00°
Element x y z (fractional)
Pr 0.000 0.000 0.000
Tm 0.000 0.500 0.500
Tm 0.500 0.000 0.500
Th 0.500 0.500 0.000

- formation energy (meV per atom) = 41
- excess energy over the best structure of this formula in the dataset (eV per formula unit) = 0.12
- total moment (μB/cell) = 0.000
- density of states at the Fermi level (states/eV/cell) = 4.79
- crystal system = tetragonal


No. 19
Pa2CSeN: relaxed, PBE-GGA.

Cell: 3.917 3.917 6.966 Å, 90.00 90.00 120.00°
Element x y z (fractional)
Pa 0.000 0.000 0.000
Pa 0.333 0.667 0.410
C 0.000 0.000 0.328
Se 0.667 0.333 0.704
N 0.333 0.667 0.077

- total moment (μB/cell) = 0.579
- density of states at the Fermi level (states/eV/cell) = 3.78
- crystal system = trigonal
- formation energy without anion corrections (meV/atom) = -1289


No. 20
NaCd2Ga10: relaxed, PBE-GGA.

Cell: 9.635 7.519 7.317 Å, 80.98 50.42 48.60°
Element x y z (fractional)
Na 0.000 0.000 0.000
Cd 0.000 0.500 0.000
Cd 0.500 0.000 0.500
Ga 0.000 0.000 0.500
Ga 0.012 0.641 0.359
Ga 0.292 0.506 0.494
Ga 0.359 0.988 0.012
Ga 0.494 0.708 0.292
Ga 0.500 0.500 0.000
Ga 0.506 0.292 0.708
Ga 0.641 0.012 0.988
Ga 0.708 0.494 0.506
Ga 0.988 0.359 0.641

- formation energy (meV per atom) = 24
- total moment (μB/cell) = 0.000
- density of states at the Fermi level (states/eV/cell) = 3.64
- crystal system = orthorhombic